# HfCdMo2, relaxed, DFT PBE-GGA
# Electronic total energy: -7.40 eV per atom
# DFT formation energy: 730.0 meV per atom
# Density of states at the Fermi level: 7.64 states/eV per cell
data_HfCdMo2
_chemical_formula_sum 'Hf2 Cd2 Mo4'
_symmetry_space_group_name_H-M 'P 1'
_symmetry_Int_Tables_number 1
_cell_length_a 3.942
_cell_length_b 3.942
_cell_length_c 10.489
_cell_angle_alpha 79.17
_cell_angle_beta 79.17
_cell_angle_gamma 90.00
loop_
_symmetry_equiv_pos_as_xyz
'x,y,z'
loop_
_atom_site_label
_atom_site_fract_x
_atom_site_fract_y
_atom_site_fract_z
Mo1 0.653 0.125 0.250
Mo2 0.375 0.347 0.750
Mo3 0.875 0.903 0.750
Mo4 0.097 0.625 0.250
Hf1 0.000 0.000 0.000
Hf2 0.750 0.250 0.500
Cd1 0.500 0.500 0.000
Cd2 0.250 0.750 0.500

---

# PAu3O, relaxed, DFT PBE-GGA
# Electronic total energy: -3.32 eV per atom
# Energy relative to the elements, uncorrected: 0.725 eV per atom
# Density of states at the Fermi level: 3.66 states/eV per cell
# ΔE to the lowest computed polymorph: 0.0 meV/atom
data_PAu3O
_chemical_formula_sum 'P1 Au3 O1'
_symmetry_space_group_name_H-M 'P 1'
_symmetry_Int_Tables_number 1
_cell_length_a 4.474
_cell_length_b 4.474
_cell_length_c 4.474
_cell_angle_alpha 90.00
_cell_angle_beta 90.00
_cell_angle_gamma 90.00
loop_
_symmetry_equiv_pos_as_xyz
'x,y,z'
loop_
_atom_site_label
_atom_site_fract_x
_atom_site_fract_y
_atom_site_fract_z
Au1 0.000 0.500 0.000
Au2 0.500 0.000 0.000
Au3 0.000 0.000 0.500
O1 0.000 0.000 0.000
P1 0.500 0.500 0.500

---

# MoRu3, relaxed, DFT PBE-GGA
# Electronic total energy: -9.27 eV per atom
# DFT formation energy: 397.1 meV per atom
# Density of states at the Fermi level: 6.83 states/eV per cell
# ΔE to the lowest computed polymorph: 452.8 meV/atom
data_MoRu3
_chemical_formula_sum 'Mo1 Ru3'
_symmetry_space_group_name_H-M 'P 1'
_symmetry_Int_Tables_number 1
_cell_length_a 2.682
_cell_length_b 5.103
_cell_length_c 5.103
_cell_angle_alpha 117.00
_cell_angle_beta 79.91
_cell_angle_gamma 79.91
loop_
_symmetry_equiv_pos_as_xyz
'x,y,z'
loop_
_atom_site_label
_atom_site_fract_x
_atom_site_fract_y
_atom_site_fract_z
Mo1 0.000 0.000 0.000
Ru1 0.500 0.000 0.500
Ru2 0.500 0.500 0.000
Ru3 0.000 0.500 0.500

---

The lowest electronic total energy belongs to which entry?
MoRu3

---

Which value of electronic total energy does entry 3 give?
-9.27 eV per atom

---

The highest density of states at the Fermi level belongs to which entry?
HfCdMo2